An optimized crystal structure of CrHg2C, computed with PBE-GGA.

Lattice parameters (Å, degrees): 8.872 8.872 6.574 47.57 47.57 90.00
Site moments in Bohr magnetons follow the coordinates.
Positions (direct):
1 Cr 0.000 0.000 0.000  2.98
2 C 0.250 0.750 0.500  -0.17
3 Hg 0.497 0.125 0.250  0.02
4 Hg 0.375 0.503 0.750  0.02
5 C 0.500 0.500 0.000  -0.17
6 Hg 0.253 0.625 0.250  0.01
7 Cr 0.750 0.250 0.500  2.99
8 Hg 0.875 0.747 0.750  0.01

Calculated values
calculated total energy	-31.25	eV per cell
space group	I-42d (122)
ΔH_f (0 K)	0.96	eV/atom